# 1
This record from Alexandria via LeMat-Bulk describes a geometry-optimized Tb2VSi4Pt3 structure. The functional is PBE.

Computed properties:
Its raw formation energy is -0.98 eV/atom. The symmetry is P-4m2, No. 115. The calculation puts the density of states at the Fermi level at 5.5 states/eV/cell. Its energy is -6.799 eV/atom.

Unit cell a=4.134 b=4.134 c=10.196 alpha=90.00 beta=90.00 gamma=90.00
Positions (direct):
Tb 0.000 0.500 0.753
Si 0.000 0.000 0.000
Pt 0.500 0.000 0.875
Si 0.000 0.500 0.364
Si 0.500 0.000 0.636
Si 0.500 0.500 0.000
Pt 0.000 0.500 0.125
V 0.500 0.500 0.500
Pt 0.000 0.000 0.500
Tb 0.500 0.000 0.247

=====

# 2
This record from Alexandria via LeMat-Bulk describes a geometry-optimized Tb2YSi2Pt7 structure. The functional is PBE.

Computed properties:
Its raw formation energy is -1.12 eV/atom. The symmetry is C2/m, No. 12. The calculation puts the density of states at the Fermi level at 5.1 states/eV/cell. Its energy is -6.857 eV/atom.

Unit cell a=4.046 b=4.046 c=13.803 alpha=83.87 beta=83.87 gamma=89.49
Positions (direct):
Si 0.594 0.594 0.743
Si 0.406 0.406 0.257
Pt 0.632 0.632 0.572
Pt 0.940 0.441 0.162
Pt 0.368 0.368 0.428
Y 0.000 0.000 0.000
Pt 0.559 0.060 0.838
Pt 0.060 0.559 0.838
Pt 0.441 0.940 0.162
Pt 0.500 0.500 0.000
Tb 0.116 0.116 0.643
Tb 0.884 0.884 0.357

=====

# 3
This record from Alexandria via LeMat-Bulk describes a geometry-optimized TbY2Si2Pt7 structure. The functional is PBE.

Computed properties:
Its raw formation energy is -1.12 eV/atom. The symmetry is C2/m, No. 12. The calculation puts the density of states at the Fermi level at 5.0 states/eV/cell. Its energy is -7.010 eV/atom.

Unit cell a=4.047 b=4.047 c=13.790 alpha=83.79 beta=83.79 gamma=89.45
Positions (direct):
Pt 0.560 0.061 0.838
Pt 0.500 0.500 0.000
Pt 0.440 0.939 0.162
Si 0.596 0.596 0.742
Pt 0.366 0.366 0.428
Pt 0.634 0.634 0.572
Y 0.117 0.117 0.644
Si 0.404 0.404 0.258
Y 0.883 0.883 0.356
Pt 0.939 0.440 0.162
Pt 0.061 0.560 0.838
Tb 0.000 0.000 0.000

=====

# 4
This record from Alexandria via LeMat-Bulk describes a geometry-optimized TbY2Si3Pt4 structure. The functional is PBE.

Computed properties:
Its raw formation energy is -1.05 eV/atom. The symmetry is P-4m2, No. 115. The calculation puts the density of states at the Fermi level at 7.4 states/eV/cell. Its energy is -6.846 eV/atom.

Unit cell a=4.191 b=4.191 c=11.002 alpha=90.00 beta=90.00 gamma=90.00
Positions (direct):
Si 0.000 0.500 0.121
Pt 0.000 0.000 0.000
Pt 0.500 0.500 0.000
Tb 0.500 0.500 0.500
Y 0.500 0.000 0.222
Pt 0.000 0.500 0.336
Si 0.500 0.000 0.879
Si 0.000 0.000 0.500
Y 0.000 0.500 0.778
Pt 0.500 0.000 0.664

=====

# 5
This record from Alexandria via LeMat-Bulk describes a geometry-optimized TbZnSi2Pt2 structure. The functional is PBE.

Computed properties:
Its raw formation energy is -0.82 eV/atom. The symmetry is P-3m1, No. 164. The calculation puts the density of states at the Fermi level at 2.6 states/eV/cell. Its energy is -5.624 eV/atom.

Unit cell a=4.212 b=4.212 c=6.730 alpha=90.00 beta=90.00 gamma=120.00
Positions (direct):
Pt 0.667 0.333 0.689
Pt 0.333 0.667 0.311
Tb 0.000 0.000 0.000
Zn 0.000 0.000 0.500
Si 0.333 0.667 0.717
Si 0.667 0.333 0.283

=====

# 6
This record from Alexandria via LeMat-Bulk describes a geometry-optimized Tb2ZnSi3Pt4 structure. The functional is PBE.

Computed properties:
Its raw formation energy is -1.05 eV/atom. The symmetry is P-4m2, No. 115. The calculation puts the density of states at the Fermi level at 4.7 states/eV/cell. Its energy is -6.143 eV/atom.

Unit cell a=4.199 b=4.199 c=10.054 alpha=90.00 beta=90.00 gamma=90.00
Positions (direct):
Zn 0.500 0.500 0.500
Pt 0.000 0.000 0.000
Tb 0.000 0.500 0.747
Pt 0.500 0.000 0.637
Pt 0.500 0.500 0.000
Pt 0.000 0.500 0.363
Si 0.500 0.000 0.869
Si 0.000 0.000 0.500
Tb 0.500 0.000 0.253
Si 0.000 0.500 0.131

=====

# 7
This record from Alexandria via LeMat-Bulk describes a geometry-optimized TbZnSiPt3 structure. The functional is PBE.

Computed properties:
Its raw formation energy is -0.76 eV/atom. The symmetry is Cmcm, No. 63. The calculation puts the density of states at the Fermi level at 3.1 states/eV/cell. Its energy is -5.665 eV/atom.

Unit cell a=5.576 b=6.913 c=6.776 alpha=120.67 beta=90.00 gamma=90.00
Positions (direct):
Pt 0.000 0.295 0.000
Zn 0.250 0.956 0.912
Si 0.750 0.621 0.241
Pt 0.750 0.817 0.634
Zn 0.750 0.044 0.088
Pt 0.500 0.295 0.000
Pt 0.000 0.705 0.000
Pt 0.250 0.183 0.366
Pt 0.500 0.705 0.000
Tb 0.250 0.705 0.409
Si 0.250 0.379 0.759
Tb 0.750 0.295 0.591

=====

# 8
This record from Alexandria via LeMat-Bulk describes a geometry-optimized Tb2ZrSi4Pt3 structure. The functional is PBE.

Computed properties:
Its raw formation energy is -1.02 eV/atom. The symmetry is P-4m2, No. 115. The calculation puts the density of states at the Fermi level at 4.0 states/eV/cell. Its energy is -6.779 eV/atom.

Unit cell a=4.181 b=4.181 c=10.564 alpha=90.00 beta=90.00 gamma=90.00
Positions (direct):
Si 0.500 0.500 0.000
Pt 0.000 0.000 0.500
Pt 0.500 0.000 0.883
Pt 0.000 0.500 0.117
Si 0.000 0.500 0.345
Tb 0.500 0.000 0.236
Si 0.500 0.000 0.655
Si 0.000 0.000 0.000
Zr 0.500 0.500 0.500
Tb 0.000 0.500 0.764